# CaPrY2Bi4 (PBE, relaxed)
# formation energy from the elements: -846 meV per atom
# total moment: 0.00 μB/atom
data_CaPrY2Bi4
_chemical_formula_sum 'Ca1 Pr1 Y2 Bi4'
_symmetry_space_group_name_H-M 'P 1 2/m 1'
_symmetry_Int_Tables_number 10
_symmetry_space_group_name_Hall '-P 2y'
_cell_length_a 7.883
_cell_length_b 4.534
_cell_length_c 7.944
_cell_angle_alpha 90.00
_cell_angle_beta 109.17
_cell_angle_gamma 90.00
loop_
_atom_site_label
_atom_site_type_symbol
_atom_site_fract_x
_atom_site_fract_y
_atom_site_fract_z
Ca1 Ca 0.000 0.000 0.000
Pr1 Pr 0.500 0.500 0.000
Y1 Y 0.000 0.500 0.500
Y2 Y 0.500 0.000 0.500
Bi1 Bi 0.246 0.000 0.740
Bi2 Bi 0.253 0.500 0.260